(1)
Crystalline MnSi2As at its relaxed geometry, computed with PBE.

a = 4.018 Å, b = 4.018 Å, c = 6.726 Å
α = 90.00°, β = 90.00°, γ = 90.00°
Space group I-4m2 (No. 119)
Asymmetric unit:
Mn  0.000  0.000  0.000
Si  0.000  0.000  0.500
Si  0.000  0.500  0.750
As  0.000  0.500  0.250

Computed properties:
Formation energy from raw total energies (eV/atom): 0.435
Raw total energy (eV/atom): -5.73
Calculated density (kg/m3): 5690

=====

(2)
Crystalline CoPbAu2 at its relaxed geometry, computed with PBE.

a = 3.912 Å, b = 3.912 Å, c = 20.506 Å
α = 90.00°, β = 90.00°, γ = 90.00°
Space group I-42d (No. 122)
Asymmetric unit:
Co  0.000  0.000  0.000
Pb  0.000  0.000  0.500
Au  0.239  0.250  0.125

Computed properties:
Raw total energy (eV/atom): -3.96
Calculated density (kg/m3): 13974
Energy of formation (kcal/mol of atoms): 8.80

=====

(3)
Crystalline CePmP at its relaxed geometry, computed with PBE.

a = 6.842 Å, b = 6.842 Å, c = 6.842 Å
α = 90.00°, β = 90.00°, γ = 90.00°
Space group F-43m (No. 216)
Asymmetric unit:
Ce  0.000  0.000  0.000
Pm  0.000  0.000  0.500
P  0.250  0.250  0.750

Computed properties:
Raw total energy (eV/atom): -6.14
Calculated density (kg/m3): 6555
Energy relative to the lowest polymorph listed for this composition (meV per atom): 76.8
Energy of formation (kcal/mol of atoms): -17.88

=====

Question: Which value of calculated density does entry 1 give?
Answer: 5690 kg/m3

=====

Question: Among the records above, which one has the highest raw total energy?
Answer: CoPbAu2

=====

Question: The lowest raw total energy belongs to which entry?
Answer: CePmP